Entry i
VASP calculation (GGA-PBE) on a geometry-optimized RbPt3F structure.

Unit cell a=4.6653 b=4.6653 c=4.6653 alpha=90.00 beta=90.00 gamma=90.00
Element x y z (fractional)
Rb  0.0000  0.0000  0.0000
Pt  0.0000  0.5000  0.5000
Pt  0.5000  0.0000  0.5000
Pt  0.5000  0.5000  0.0000
F  0.5000  0.5000  0.5000

Computed properties:
Fermi-level density of states (states/eV/cell): 5.98
Calculated density (g/cm³): 11.3

Entry ii
VASP calculation (GGA-PBE) on a geometry-optimized RbPt3F structure.

Unit cell a=5.2636 b=5.2636 c=5.2636 alpha=90.00 beta=90.00 gamma=90.00
Element x y z (fractional)
Rb  0.0000  0.0000  0.0000
Pt  0.0000  0.0000  0.5000
Pt  0.0000  0.5000  0.0000
Pt  0.5000  0.0000  0.0000
F  0.5000  0.5000  0.5000

Computed properties:
Fermi-level density of states (states/eV/cell): 15.12
Calculated density (g/cm³): 7.9

Stability, descending: entry i, entry ii

Entry i
VASP calculation (GGA-PBE) on a geometry-optimized Rb2Pt2F structure.

Unit cell a=9.6369 b=9.6369 c=9.6369 alpha=158.03 beta=158.03 gamma=31.26
Element x y z (fractional)
Rb  0.0902  0.0902  0.0000
Rb  0.9098  0.9098  0.0000
Pt  0.2500  0.7500  0.5000
Pt  0.7500  0.2500  0.5000
F  0.5000  0.5000  0.0000

Computed properties:
Fermi-level density of states (states/eV/cell): 3.24
Calculated density (g/cm³): 7.7

Entry ii
VASP calculation (GGA-PBE) on a geometry-optimized Rb2Pt2F structure.

Unit cell a=9.8745 b=9.8745 c=2.9908 alpha=90.00 beta=90.00 gamma=90.00
Element x y z (fractional)
Rb  0.2011  0.2989  0.0000
Rb  0.2989  0.7989  0.0000
Rb  0.7011  0.2011  0.0000
Rb  0.7989  0.7011  0.0000
Pt  0.0886  0.5886  0.5000
Pt  0.4114  0.0886  0.5000
Pt  0.5886  0.9114  0.5000
Pt  0.9114  0.4114  0.5000
F  0.0000  0.0000  0.0000
F  0.5000  0.5000  0.0000

Computed properties:
Fermi-level density of states (states/eV/cell): 6.20
Calculated density (g/cm³): 6.6

Entry iii
VASP calculation (GGA-PBE) on a geometry-optimized Rb2Pt2F structure.

Unit cell a=5.8175 b=5.8175 c=5.8175 alpha=110.66 beta=110.66 gamma=107.12
Element x y z (fractional)
Rb  0.2500  0.7500  0.5000
Rb  0.7500  0.2500  0.5000
Pt  0.1759  0.1759  0.0000
Pt  0.8241  0.8241  0.0000
F  0.5000  0.5000  0.0000

Computed properties:
Fermi-level density of states (states/eV/cell): 5.37
Calculated density (g/cm³): 6.4

Stability, descending: entry i, entry iii, entry ii

Entry i
VASP calculation (GGA-PBE) on a geometry-optimized Re3PtF structure.

Unit cell a=4.1753 b=4.1753 c=4.1753 alpha=90.00 beta=90.00 gamma=90.00
Element x y z (fractional)
Re  0.0000  0.0000  0.5000
Re  0.0000  0.5000  0.0000
Re  0.5000  0.0000  0.0000
Pt  0.5000  0.5000  0.5000
F  0.0000  0.0000  0.0000

Computed properties:
Fermi-level density of states (states/eV/cell): 3.88
Calculated density (g/cm³): 17.6

Entry ii
VASP calculation (GGA-PBE) on a geometry-optimized Re3PtF structure.

Unit cell a=4.8165 b=4.8165 c=4.8165 alpha=90.00 beta=90.00 gamma=90.00
Element x y z (fractional)
Re  0.0000  0.0000  0.5000
Re  0.0000  0.5000  0.0000
Re  0.5000  0.0000  0.0000
Pt  0.0000  0.0000  0.0000
F  0.5000  0.5000  0.5000

Computed properties:
Fermi-level density of states (states/eV/cell): 5.00
Calculated density (g/cm³): 11.5

Stability, descending: entry i, entry ii

Entry i
VASP calculation (GGA-PBE) on a geometry-optimized RePtF3 structure.

Unit cell a=4.1660 b=4.1660 c=4.1660 alpha=90.00 beta=90.00 gamma=90.00
Element x y z (fractional)
Re  0.0000  0.0000  0.0000
Pt  0.5000  0.5000  0.5000
F  0.0000  0.0000  0.5000
F  0.0000  0.5000  0.0000
F  0.5000  0.0000  0.0000

Computed properties:
Fermi-level density of states (states/eV/cell): 3.35
Calculated density (g/cm³): 10.1

Entry ii
VASP calculation (GGA-PBE) on a geometry-optimized RePtF3 structure.

Unit cell a=4.3824 b=4.3824 c=4.3824 alpha=90.00 beta=90.00 gamma=90.00
Element x y z (fractional)
Re  0.0000  0.0000  0.0000
Pt  0.5000  0.5000  0.5000
F  0.0000  0.5000  0.5000
F  0.5000  0.0000  0.5000
F  0.5000  0.5000  0.0000

Computed properties:
Fermi-level density of states (states/eV/cell): 1.77
Calculated density (g/cm³): 8.6

Stability, descending: entry i, entry ii

Entry i
VASP calculation (GGA-PBE) on a geometry-optimized RePt3F structure.

Unit cell a=4.8199 b=4.8199 c=4.8199 alpha=90.00 beta=90.00 gamma=90.00
Element x y z (fractional)
Re  0.0000  0.0000  0.0000
Pt  0.0000  0.0000  0.5000
Pt  0.0000  0.5000  0.0000
Pt  0.5000  0.0000  0.0000
F  0.5000  0.5000  0.5000

Computed properties:
Fermi-level density of states (states/eV/cell): 5.31
Calculated density (g/cm³): 11.7

Entry ii
VASP calculation (GGA-PBE) on a geometry-optimized RePt3F structure.

Unit cell a=4.3136 b=4.3136 c=4.3136 alpha=90.00 beta=90.00 gamma=90.00
Element x y z (fractional)
Re  0.0000  0.0000  0.0000
Pt  0.0000  0.5000  0.5000
Pt  0.5000  0.0000  0.5000
Pt  0.5000  0.5000  0.0000
F  0.5000  0.5000  0.5000

Computed properties:
Fermi-level density of states (states/eV/cell): 5.49
Calculated density (g/cm³): 16.4

Stability, descending: entry ii, entry i

Entry i
VASP calculation (GGA-PBE) on a geometry-optimized PtRhF structure.

Unit cell a=2.7815 b=2.7815 c=6.2328 alpha=90.00 beta=90.00 gamma=121.56
Element x y z (fractional)
Pt  0.0000  0.0000  0.0000
Rh  0.5000  0.5000  0.6386
F  0.0000  0.0000  0.3538

Computed properties:
Fermi-level density of states (states/eV/cell): 2.50
Calculated density (g/cm³): 12.8

Entry ii
VASP calculation (GGA-PBE) on a geometry-optimized PtRhF structure.

Unit cell a=2.6973 b=2.6973 c=6.7342 alpha=90.00 beta=90.00 gamma=120.00
Element x y z (fractional)
Pt  0.0000  0.0000  0.0000
Rh  0.0000  0.0000  0.6306
F  0.0000  0.0000  0.3313

Computed properties:
Fermi-level density of states (states/eV/cell): 3.83
Calculated density (g/cm³): 12.4

Entry iii
VASP calculation (GGA-PBE) on a geometry-optimized PtRhF structure.

Unit cell a=4.5664 b=2.7572 c=6.8292 alpha=90.00 beta=103.32 gamma=90.00
Element x y z (fractional)
Pt  0.0000  0.0000  0.0000
Pt  0.4814  0.5000  0.9168
Rh  0.4575  0.5000  0.2761
Rh  0.9480  0.0000  0.3772
F  0.3590  0.5000  0.5741
F  0.8802  0.0000  0.6597

Computed properties:
Fermi-level density of states (states/eV/cell): 7.52
Calculated density (g/cm³): 12.6

Stability, descending: entry ii, entry i, entry iii

Entry i
VASP calculation (GGA-PBE) on a geometry-optimized PtRhF2 structure.

Unit cell a=4.2082 b=4.2082 c=4.2082 alpha=60.00 beta=60.00 gamma=60.00
Element x y z (fractional)
Pt  0.0000  0.0000  0.0000
Rh  0.5000  0.5000  0.5000
F  0.2500  0.2500  0.2500
F  0.7500  0.7500  0.7500

Computed properties:
Fermi-level density of states (states/eV/cell): 5.07
Calculated density (g/cm³): 10.6

Entry ii
VASP calculation (GGA-PBE) on a geometry-optimized PtRhF2 structure.

Unit cell a=8.1338 b=8.1338 c=8.1338 alpha=19.50 beta=19.50 gamma=19.50
Element x y z (fractional)
Pt  0.0000  0.0000  0.0000
Rh  0.5000  0.5000  0.5000
F  0.0844  0.0844  0.0844
F  0.9156  0.9156  0.9156

Computed properties:
Fermi-level density of states (states/eV/cell): 2.89
Calculated density (g/cm³): 10.6

Stability, descending: entry ii, entry i

Entry i
VASP calculation (GGA-PBE) on a geometry-optimized RuPt3F structure.

Unit cell a=4.7802 b=4.7802 c=4.7802 alpha=90.00 beta=90.00 gamma=90.00
Element x y z (fractional)
Ru  0.0000  0.0000  0.0000
Pt  0.0000  0.0000  0.5000
Pt  0.0000  0.5000  0.0000
Pt  0.5000  0.0000  0.0000
F  0.5000  0.5000  0.5000

Computed properties:
Fermi-level density of states (states/eV/cell): 5.84
Calculated density (g/cm³): 10.7

Entry ii
VASP calculation (GGA-PBE) on a geometry-optimized RuPt3F structure.

Unit cell a=4.3435 b=4.3435 c=4.3435 alpha=90.00 beta=90.00 gamma=90.00
Element x y z (fractional)
Ru  0.0000  0.0000  0.0000
Pt  0.0000  0.5000  0.5000
Pt  0.5000  0.0000  0.5000
Pt  0.5000  0.5000  0.0000
F  0.5000  0.5000  0.5000

Computed properties:
Fermi-level density of states (states/eV/cell): 5.60
Calculated density (g/cm³): 14.3

Stability, descending: entry ii, entry i

Entry i
VASP calculation (GGA-PBE) on a geometry-optimized RuPt2F structure.

Unit cell a=4.3228 b=4.3228 c=4.3228 alpha=60.00 beta=60.00 gamma=60.00
Element x y z (fractional)
Ru  0.0000  0.0000  0.0000
Pt  0.2500  0.2500  0.2500
Pt  0.7500  0.7500  0.7500
F  0.5000  0.5000  0.5000

Computed properties:
Fermi-level density of states (states/eV/cell): 5.53
Calculated density (g/cm³): 14.8

Entry ii
VASP calculation (GGA-PBE) on a geometry-optimized RuPt2F structure.

Unit cell a=5.5042 b=5.5042 c=5.5042 alpha=103.83 beta=103.83 gamma=121.45
Element x y z (fractional)
Ru  0.0000  0.0000  0.0000
Ru  0.7500  0.2500  0.5000
Pt  0.1355  0.6250  0.0105
Pt  0.3750  0.3855  0.5105
Pt  0.6145  0.1250  0.9895
Pt  0.8750  0.8645  0.4895
F  0.2500  0.7500  0.5000
F  0.5000  0.5000  0.0000

Computed properties:
Fermi-level density of states (states/eV/cell): 10.62
Calculated density (g/cm³): 13.7

Stability, descending: entry i, entry ii

Entry i
VASP calculation (GGA-PBE) on a geometry-optimized PtSF3 structure.

Unit cell a=4.2030 b=4.2030 c=4.2030 alpha=90.00 beta=90.00 gamma=90.00
Element x y z (fractional)
Pt  0.0000  0.0000  0.0000
S  0.5000  0.5000  0.5000
F  0.0000  0.5000  0.5000
F  0.5000  0.0000  0.5000
F  0.5000  0.5000  0.0000

Computed properties:
Fermi-level density of states (states/eV/cell): 9.25
Calculated density (g/cm³): 6.4

Entry ii
VASP calculation (GGA-PBE) on a geometry-optimized PtSF3 structure.

Unit cell a=4.2626 b=4.2626 c=4.2626 alpha=90.00 beta=90.00 gamma=90.00
Element x y z (fractional)
Pt  0.0000  0.0000  0.0000
S  0.5000  0.5000  0.5000
F  0.0000  0.0000  0.5000
F  0.0000  0.5000  0.0000
F  0.5000  0.0000  0.0000

Computed properties:
Fermi-level density of states (states/eV/cell): 2.33
Calculated density (g/cm³): 6.1

Stability, descending: entry ii, entry i

Entry i
VASP calculation (GGA-PBE) on a geometry-optimized PtSF structure.

Unit cell a=5.6681 b=6.1222 c=6.3418 alpha=91.51 beta=116.22 gamma=117.54
Element x y z (fractional)
Pt  0.0000  0.0000  0.0000
Pt  0.2394  0.6101  0.7917
Pt  0.6735  0.3476  0.0004
S  0.1558  0.2158  0.7493
S  0.5376  0.9786  0.7499
S  0.8256  0.6022  0.7654
F  0.1114  0.3558  0.2119
F  0.4925  0.1194  0.2117
F  0.8673  0.7432  0.2227

Computed properties:
Fermi-level density of states (states/eV/cell): 2.76
Calculated density (g/cm³): 7.3

Entry ii
VASP calculation (GGA-PBE) on a geometry-optimized PtSF structure.

Unit cell a=3.5275 b=3.5275 c=4.6774 alpha=90.00 beta=90.00 gamma=120.00
Element x y z (fractional)
Pt  0.0000  0.0000  0.0000
S  0.6667  0.3333  0.2269
F  0.3333  0.6667  0.7379

Computed properties:
Fermi-level density of states (states/eV/cell): 2.40
Calculated density (g/cm³): 8.1

Stability, descending: entry i, entry ii

Entry i
VASP calculation (GGA-PBE) on a geometry-optimized PtS2F structure.

Unit cell a=4.2273 b=4.2273 c=4.2273 alpha=60.00 beta=60.00 gamma=60.00
Element x y z (fractional)
Pt  0.0000  0.0000  0.0000
S  0.2500  0.2500  0.2500
S  0.7500  0.7500  0.7500
F  0.5000  0.5000  0.5000

Computed properties:
Fermi-level density of states (states/eV/cell): 1.67
Calculated density (g/cm³): 8.6

Entry ii
VASP calculation (GGA-PBE) on a geometry-optimized PtS2F structure.

Unit cell a=6.9618 b=6.9618 c=6.9618 alpha=30.11 beta=30.11 gamma=30.11
Element x y z (fractional)
Pt  0.0000  0.0000  0.0000
S  0.3934  0.3934  0.3934
S  0.6066  0.6066  0.6066
F  0.5000  0.5000  0.5000

Computed properties:
Fermi-level density of states (states/eV/cell): 1.39
Calculated density (g/cm³): 6.1

Stability, descending: entry ii, entry i